(1)
Compound: MgZnSO
Source: OQMD
Functional: PBE
Structure: relaxed

Lattice parameters (Å, degrees): 7.5180 8.4887 7.2772 90.00 90.00 90.00
With the nearest neighbours (Å) after each atom.
Fractional positions:
S (0.4999, 0.0000, 0.7499)  2 Zn 2.31-2.32
S (0.0000, 0.5000, 0.7499)  2 Zn 2.31-2.32
S (0.0000, 0.0000, 0.7501)  2 Zn 2.31-2.32
S (0.4999, 0.5000, 0.2499)  2 Zn 2.31-2.32
S (0.0000, 0.5000, 0.2501)  2 Zn 2.31-2.32
S (0.0000, 0.0000, 0.2499)  2 Zn 2.31-2.32
S (0.5001, 0.0000, 0.2501)  2 Zn 2.31-2.32
S (0.5001, 0.5000, 0.7501)  2 Zn 2.31-2.32
Zn (0.6230, 0.2501, 0.2511)  2 O 2.00
Zn (0.3770, 0.7501, 0.2489)  2 O 2.00
Zn (0.8770, 0.7501, 0.2511)  2 O 2.00
Zn (0.3770, 0.7499, 0.7489)  2 O 2.00
Zn (0.6230, 0.2499, 0.7511)  2 O 2.00
Zn (0.1230, 0.2499, 0.7489)  2 O 2.00
Zn (0.8770, 0.7499, 0.7511)  2 O 2.00
Zn (0.1230, 0.2501, 0.2489)  2 O 2.00
Mg (0.2498, 0.0000, 0.4994)  2 O 2.13
Mg (0.7498, 0.5001, 0.5006)  2 O 2.12-2.13
Mg (0.2502, 0.0000, 0.9994)  2 O 2.13
Mg (0.2502, 0.4999, 0.4994)  2 O 2.12-2.13
Mg (0.2498, 0.5001, 0.9994)  2 O 2.12-2.13
Mg (0.7502, 0.0000, 0.5006)  2 O 2.13
Mg (0.7498, 0.0000, 0.0006)  2 O 2.13
Mg (0.7502, 0.4999, 0.0006)  2 O 2.12-2.13
O (0.2668, 0.7500, 0.9991)  2 Zn 2.00, 2 Mg 2.12-2.13
O (0.2332, 0.2500, 0.9991)  2 Zn 2.00, 2 Mg 2.13
O (0.7332, 0.2500, 0.0009)  2 Zn 2.00, 2 Mg 2.12-2.13
O (0.2668, 0.7500, 0.4991)  2 Zn 2.00, 2 Mg 2.13
O (0.2332, 0.2500, 0.4991)  2 Zn 2.00, 2 Mg 2.12-2.13
O (0.7332, 0.2500, 0.5009)  2 Zn 2.00, 2 Mg 2.13
O (0.7668, 0.7500, 0.5009)  2 Zn 2.00, 2 Mg 2.12-2.13
O (0.7668, 0.7500, 0.0009)  2 Zn 2.00, 2 Mg 2.13

Values from the calculation:
Its relative energy among the computed polymorphs is 89.2 kJ/mol of formula units.

(2)
Compound: TaCoSiHg
Source: OQMD
Functional: PBE
Structure: relaxed

Lattice parameters (Å, degrees): 4.4954 4.4954 4.4954 60.00 60.00 60.00
With the nearest neighbours (Å) after each atom.
Fractional positions:
Hg (0.2500, 0.2500, 0.2500)  4 Ta 2.75, 4 Si 2.75
Ta (0.5000, 0.5000, 0.5000)  4 Hg 2.75, 4 Co 2.75
Si (0.0000, 0.0000, 0.0000)  4 Co 2.75, 4 Hg 2.75
Co (0.7500, 0.7500, 0.7500)  4 Si 2.75, 4 Ta 2.75

Values from the calculation:
Its magnetic moment is 0.00 μB per cell. Its relative energy among the computed polymorphs is 61.1 kJ/mol of formula units.

(3)
Compound: GdBiI6
Source: OQMD
Functional: PBE
Structure: relaxed

Lattice parameters (Å, degrees): 7.7730 7.7730 7.7370 99.42 99.42 120.07
With the nearest neighbours (Å) after each atom.
Fractional positions:
I (0.5825, 0.9302, 0.2428)  1 Gd 3.07, 1 Bi 3.11
I (0.2245, 0.2290, 0.2478)  1 Gd 3.07, 1 Bi 3.11
I (0.7710, 0.7755, 0.7522)  1 Gd 3.07, 1 Bi 3.11
I (0.4262, 0.0740, 0.7575)  1 Gd 3.07, 1 Bi 3.11
I (0.9260, 0.5738, 0.2425)  1 Gd 3.07, 1 Bi 3.11
I (0.0698, 0.4175, 0.7572)  1 Gd 3.07, 1 Bi 3.11
Gd (0.8341, 0.1659, 0.0000)  6 I 3.07
Bi (0.1660, 0.8340, 0.0000)  6 I 3.11

Values from the calculation:
Its total energy is -3.185 eV/atom. Its magnetic moment is 0.00 μB per cell.

(4)
Compound: Ta4In3W2C3
Source: OQMD
Functional: PBE
Structure: relaxed

Lattice parameters (Å, degrees): 5.4839 5.4839 14.6204 100.84 100.84 60.01
With the nearest neighbours (Å) after each atom.
Fractional positions:
C (0.8358, 0.3316, 0.5000)  2 W 2.15, 4 Ta 2.17-2.18
C (0.3316, 0.8358, 0.0000)  2 W 2.15, 4 Ta 2.17-2.18
C (0.6684, 0.1642, 0.0000)  2 W 2.15, 4 Ta 2.17-2.18
C (0.1642, 0.6684, 0.5000)  2 W 2.15, 4 Ta 2.17-2.18
C (0.5000, 0.0000, 0.5000)  2 W 2.17, 4 Ta 2.17
C (0.0000, 0.5000, 0.0000)  2 W 2.17, 4 Ta 2.17
In (0.4155, 0.2604, 0.2494)  2 W 3.01, 4 Ta 3.01-3.02, 6 In 3.07-3.21
In (0.5845, 0.7396, 0.7506)  2 W 3.01, 4 Ta 3.01-3.02, 6 In 3.07-3.21
In (0.2604, 0.4155, 0.7494)  2 W 3.01, 4 Ta 3.01-3.02, 6 In 3.07-3.21
In (0.0920, 0.9080, 0.2500)  4 Ta 3.02, 2 W 3.02, 6 In 3.08-3.21
In (0.9080, 0.0920, 0.7500)  4 Ta 3.02, 2 W 3.02, 6 In 3.08-3.21
In (0.7396, 0.5845, 0.2506)  2 W 3.01, 4 Ta 3.01-3.02, 6 In 3.07-3.21
Ta (0.6947, 0.8582, 0.0832)  3 C 2.17-2.18
Ta (0.8582, 0.6947, 0.5832)  3 C 2.17-2.18
Ta (0.1975, 0.0254, 0.5832)  3 C 2.17-2.18
Ta (0.8025, 0.9746, 0.4168)  3 C 2.17-2.18
Ta (0.3053, 0.1418, 0.9168)  3 C 2.17-2.18
Ta (0.9746, 0.8025, 0.9168)  3 C 2.17-2.18
Ta (0.1418, 0.3053, 0.4168)  3 C 2.17-2.18
Ta (0.0254, 0.1975, 0.0832)  3 C 2.17-2.18
W (0.4737, 0.6363, 0.4206)  3 C 2.15-2.17
W (0.3637, 0.5263, 0.0794)  3 C 2.15-2.17
W (0.5263, 0.3637, 0.5794)  3 C 2.15-2.17
W (0.6363, 0.4737, 0.9206)  3 C 2.15-2.17

Values from the calculation:
Its total energy is -9.282 eV/atom. Its magnetic moment is 0.00 μB per cell.